# 1
Below is a relaxed RbGa2CuPt crystal, with properties calculated at the PBE level.

Lattice parameters (Å, degrees): 4.8347 4.8347 5.2059 90.00 90.00 90.00
Element x y z (fractional)
Ga: 0.0000 0.5000 0.0000
Ga: 0.5000 0.0000 0.0000
Cu: 0.0000 0.0000 0.5000
Rb: 0.5000 0.5000 0.5000
Pt: 0.0000 0.0000 0.0000

Results
D(E_F)	0.2644	states/eV/atom
energy of formation from the pure elements	-0.16	eV per atom
uncorrected energy	-3.595	eV/atom
volume	121.7	Å³/cell
SG	P4/mmm, No. 123

# 2
Below is a relaxed Sc4GaCu2Pt crystal, with properties calculated at the PBE level.

Lattice parameters (Å, degrees): 4.6584 4.6584 8.0902 73.27 73.27 60.00
Element x y z (fractional)
Sc: 0.3775 0.3775 0.8674
Sc: 0.8730 0.8730 0.3810
Sc: 0.1270 0.1270 0.6190
Sc: 0.6225 0.6225 0.1326
Ga: 0.0000 0.0000 0.0000
Cu: 0.7451 0.7451 0.7647
Cu: 0.2549 0.2549 0.2353
Pt: 0.5000 0.5000 0.5000

Results
D(E_F)	0.9225	states/eV/atom
energy of formation from the pure elements	-0.64	eV per atom
uncorrected energy	-5.965	eV/atom
volume	143.4	Å³/cell
SG	R-3m, No. 166

# 3
Below is a relaxed Sc2GaCuPt crystal, with properties calculated at the PBE level.

Lattice parameters (Å, degrees): 4.7956 4.5982 4.7956 90.00 90.00 90.00
Element x y z (fractional)
Sc: 0.0000 0.0000 0.5000
Sc: 0.5000 0.0000 0.0000
Cu: 0.0000 0.0000 0.0000
Ga: 0.5000 0.5000 0.5000
Pt: 0.0000 0.5000 0.0000

Results
D(E_F)	0.8176	states/eV/atom
energy of formation from the pure elements	0.01	eV per atom
uncorrected energy	-5.154	eV/atom
volume	105.7	Å³/cell
SG	P4/mmm, No. 123

# 4
Below is a relaxed Sm2Ga4CuPt3 crystal, with properties calculated at the PBE level.

Lattice parameters (Å, degrees): 4.1904 4.1904 10.7960 90.00 90.00 90.00
Element x y z (fractional)
Sm: 0.5000 0.0000 0.2482
Sm: 0.0000 0.5000 0.7518
Ga: 0.5000 0.5000 0.0000
Ga: 0.0000 0.0000 0.0000
Ga: 0.5000 0.0000 0.6294
Ga: 0.0000 0.5000 0.3706
Cu: 0.5000 0.5000 0.5000
Pt: 0.0000 0.0000 0.5000
Pt: 0.5000 0.0000 0.8617
Pt: 0.0000 0.5000 0.1383

Results
D(E_F)	0.4147	states/eV/atom
energy of formation from the pure elements	-0.85	eV per atom
uncorrected energy	-5.226	eV/atom
volume	189.6	Å³/cell
SG	P-4m2, No. 115

# 5
Below is a relaxed SmGa2CuPt2 crystal, with properties calculated at the PBE level.

Lattice parameters (Å, degrees): 4.8077 4.8077 6.4795 111.78 111.78 90.00
Element x y z (fractional)
Sm: 0.5000 0.5000 0.0000
Ga: 0.7936 0.7936 0.5872
Ga: 0.2064 0.2064 0.4128
Cu: 0.0000 0.0000 0.0000
Pt: 0.2500 0.7500 0.5000
Pt: 0.7500 0.2500 0.5000

Results
D(E_F)	0.5941	states/eV/atom
energy of formation from the pure elements	-0.26	eV per atom
uncorrected energy	-4.748	eV/atom
volume	127.5	Å³/cell
SG	I4/mmm, No. 139

# 6
Below is a relaxed Sm2Ga4Cu3Pt crystal, with properties calculated at the PBE level.

Lattice parameters (Å, degrees): 4.1933 4.1933 10.2723 90.00 90.00 90.00
Element x y z (fractional)
Sm: 0.5000 0.0000 0.2482
Sm: 0.0000 0.5000 0.7518
Ga: 0.5000 0.5000 0.0000
Ga: 0.0000 0.0000 0.0000
Ga: 0.5000 0.0000 0.6357
Ga: 0.0000 0.5000 0.3643
Cu: 0.0000 0.0000 0.5000
Cu: 0.5000 0.0000 0.8695
Cu: 0.0000 0.5000 0.1305
Pt: 0.5000 0.5000 0.5000

Results
D(E_F)	0.5797	states/eV/atom
energy of formation from the pure elements	-0.57	eV per atom
uncorrected energy	-4.556	eV/atom
volume	180.6	Å³/cell
SG	P-4m2, No. 115

# 7
Below is a relaxed SmGaCu2Pt crystal, with properties calculated at the PBE level.

Lattice parameters (Å, degrees): 3.9389 4.1357 6.1374 109.69 108.72 90.00
Element x y z (fractional)
Sm: 0.4523 0.4523 0.9046
Ga: 0.8282 0.8282 0.6564
Cu: 0.6962 0.1962 0.3924
Cu: 0.0498 0.0498 0.0997
Pt: 0.1856 0.6856 0.3712

Results
D(E_F)	0.5484	states/eV/atom
energy of formation from the pure elements	-0.50	eV per atom
uncorrected energy	-4.899	eV/atom
volume	88.5	Å³/cell
SG	Imm2, No. 44

# 8
Below is a relaxed SmGa4CuPt2 crystal, with properties calculated at the PBE level.

Lattice parameters (Å, degrees): 4.2913 4.2913 9.0525 76.29 76.29 60.00
Element x y z (fractional)
Sm: 0.0000 0.0000 0.0000
Ga: 0.3992 0.3992 0.8024
Ga: 0.8677 0.8677 0.3968
Ga: 0.1323 0.1323 0.6032
Ga: 0.6008 0.6008 0.1976
Cu: 0.5000 0.5000 0.5000
Pt: 0.7617 0.7617 0.7149
Pt: 0.2383 0.2383 0.2851

Results
D(E_F)	0.2871	states/eV/atom
energy of formation from the pure elements	-0.60	eV per atom
uncorrected energy	-4.726	eV/atom
volume	138.9	Å³/cell
SG	R-3m, No. 166

# 9
Below is a relaxed SmGaCuPt2 crystal, with properties calculated at the PBE level.

Lattice parameters (Å, degrees): 3.8973 3.8973 6.7541 106.77 106.77 90.00
Element x y z (fractional)
Sm: 0.0000 0.0000 0.0000
Ga: 0.7500 0.2500 0.5000
Cu: 0.2500 0.7500 0.5000
Pt: 0.6105 0.6105 0.2210
Pt: 0.3895 0.3895 0.7790

Results
D(E_F)	0.4020	states/eV/atom
energy of formation from the pure elements	-0.77	eV per atom
uncorrected energy	-5.560	eV/atom
volume	93.7	Å³/cell
SG	I-4m2, No. 119

# 10
Below is a relaxed Sm2Ga3Cu4Pt crystal, with properties calculated at the PBE level.

Lattice parameters (Å, degrees): 4.0240 4.0240 10.9363 90.00 90.00 90.00
Element x y z (fractional)
Sm: 0.5000 0.0000 0.2538
Sm: 0.0000 0.5000 0.7462
Ga: 0.0000 0.0000 0.5000
Ga: 0.5000 0.0000 0.8690
Ga: 0.0000 0.5000 0.1310
Cu: 0.5000 0.5000 0.0000
Cu: 0.0000 0.0000 0.0000
Cu: 0.5000 0.0000 0.6471
Cu: 0.0000 0.5000 0.3529
Pt: 0.5000 0.5000 0.5000

Results
D(E_F)	0.6496	states/eV/atom
energy of formation from the pure elements	-0.46	eV per atom
uncorrected energy	-4.550	eV/atom
volume	177.1	Å³/cell
SG	P-4m2, No. 115